# 1
TiSbNO2 | GGA-PBE | optimized geometry

Properties
Space group: P4/mmm
E_form (uncorrected) (kJ per mole of atoms): -34.23

a = 3.959 Å, b = 3.959 Å, c = 4.093 Å
α = 90.00°, β = 90.00°, γ = 90.00°
Site moments in Bohr magnetons follow the coordinates.
Atoms (fractional coordinates):
O: 0.000 0.500 0.000  -0.02
O: 0.500 0.000 0.000  -0.02
Sb: 0.000 0.000 0.000  0.00
N: 0.000 0.000 0.500  -0.07
Ti: 0.500 0.500 0.500  1.62



# 2
TiSbNO2 | GGA-PBE | optimized geometry

Properties
Space group: P4/mmm
E_form (uncorrected) (kJ per mole of atoms): -117.61

a = 3.817 Å, b = 3.817 Å, c = 4.195 Å
α = 90.00°, β = 90.00°, γ = 90.00°
Atoms (fractional coordinates):
Sb: 0.500 0.500 0.500
O: 0.500 0.000 0.000
O: 0.000 0.500 0.000
N: 0.000 0.000 0.500
Ti: 0.000 0.000 0.000